A geometry-optimized Rb3ZnP2 structure. Source: the Alexandria database, functional PBE.

- energy of formation from the pure elements (kJ/mol of formula units) = -107
- magnetic moment (μB/f.u.) = 0.000

abc: 8.196 14.242 6.883
angles: 90.00 90.00 90.00
Space group Ibam (No. 72)
Symmetry-distinct sites (fractional):
1 Rb 0.000 0.000 0.250
2 Rb 0.194 0.321 0.000
3 Zn 0.000 0.500 0.250
4 P 0.170 0.418 0.500

A geometry-optimized RbZn4P3 structure. Source: the Alexandria database, functional PBE.

- energy of formation from the pure elements (kJ/mol of formula units) = -228
- magnetic moment (μB/f.u.) = 0.000

abc: 4.076 4.076 10.199
angles: 90.00 90.00 90.00
Space group P4/mmm (No. 123)
Symmetry-distinct sites (fractional):
1 Rb 0.000 0.000 0.000
2 Zn 0.000 0.500 0.344
3 P 0.000 0.000 0.500
4 P 0.500 0.500 0.216

A geometry-optimized RbZn2P structure. Source: the Alexandria database, functional PBE.

- energy of formation from the pure elements (kJ/mol of formula units) = 2
- magnetic moment (μB/f.u.) = 0.000

abc: 5.250 5.250 16.723
angles: 90.00 90.00 90.00
Space group I4_1/amd (No. 141, origin choice 2)
Symmetry-distinct sites (fractional):
1 Rb 0.000 0.250 0.375
2 Zn 0.000 0.000 0.000
3 P 0.000 0.250 0.875

A geometry-optimized Rb2ZnP structure. Source: the Alexandria database, functional PBE.

- energy of formation from the pure elements (kJ/mol of formula units) = 72
- magnetic moment (μB/f.u.) = 1.000
- ΔE to the lowest computed polymorph (meV per atom) = 298

abc: 8.280 8.280 8.280
angles: 90.00 90.00 90.00
Space group Fm-3m (No. 225)
Symmetry-distinct sites (fractional):
1 Rb 0.250 0.250 0.250
2 Zn 0.000 0.000 0.000
3 P 0.000 0.000 0.500